Below is a relaxed structure of InW3, with properties calculated at the PBE level.

abc: 5.8721 5.8721 4.6702
angles: 90.00 90.00 120.00
Space group P6_3/mmc (No. 194)
Asymmetric unit:
In 0.3333 0.6667 0.2500
W 0.1522 0.3044 0.7500

Calculated values
DOS(E_F) ... 1.7 states/eV/f.u.
Uncorrected energy ... -79.902 eV per cell